1.
Compound: Sr3IrOs
Source: the Open Quantum Materials Database
Functional: PBE
Structure: relaxed

Geometry as CIF:
```
data_Sr3IrOs
_cell_length_a 5.042
_cell_length_b 8.353
_cell_length_c 8.353
_cell_angle_alpha 59.99
_cell_angle_beta 90.00
_cell_angle_gamma 90.00
_space_group_name_H-M_alt 'P 1'
_space_group_IT_number 1
_space_group_name_Hall 'P 1'
loop_
_atom_site_label
_atom_site_type_symbol
_atom_site_fract_x
_atom_site_fract_y
_atom_site_fract_z
Sr1 Sr 0.250 0.668 0.334
Sr2 Sr 0.750 0.334 0.668
Sr3 Sr 0.250 0.998 0.668
Sr4 Sr 0.750 0.668 0.998
Sr5 Sr 0.750 0.998 0.334
Sr6 Sr 0.250 0.334 0.998
Os1 Os 0.500 0.000 0.000
Os2 Os 0.000 0.000 0.000
Ir1 Ir 0.500 0.333 0.333
Ir2 Ir 0.000 0.333 0.333
```

Results
Total moment ... 0.0 μB per formula unit
Final energy ... -49.09 eV per cell
Crystal system ... hexagonal
Calculated volume ... 304.6 Å³/cell

***

2.
Compound: GdNbCS
Source: the Open Quantum Materials Database
Functional: PBE
Structure: relaxed

Geometry as CIF:
```
data_GdNbCS
_cell_length_a 3.514
_cell_length_b 3.514
_cell_length_c 12.392
_cell_angle_alpha 90.00
_cell_angle_beta 90.00
_cell_angle_gamma 120.00
_space_group_name_H-M_alt 'P 1'
_space_group_IT_number 1
_space_group_name_Hall 'P 1'
loop_
_atom_site_label
_atom_site_type_symbol
_atom_site_fract_x
_atom_site_fract_y
_atom_site_fract_z
C1 C 0.000 0.000 0.500
C2 C 0.000 0.000 0.000
Gd1 Gd 0.667 0.333 0.113
Gd2 Gd 0.333 0.667 0.887
Nb1 Nb 0.333 0.667 0.583
Nb2 Nb 0.667 0.333 0.417
S1 S 0.333 0.667 0.278
S2 S 0.667 0.333 0.722
```

Results
Total moment ... 0.0 μB per formula unit
Final energy ... -63.65 eV per cell
Crystal system ... trigonal
Calculated volume ... 132.5 Å³/cell

***

3.
Compound: RbNbSeO
Source: the Open Quantum Materials Database
Functional: PBE
Structure: relaxed

Geometry as CIF:
```
data_RbNbSeO
_cell_length_a 5.081
_cell_length_b 5.825
_cell_length_c 14.695
_cell_angle_alpha 90.00
_cell_angle_beta 108.82
_cell_angle_gamma 90.00
_space_group_name_H-M_alt 'P 1'
_space_group_IT_number 1
_space_group_name_Hall 'P 1'
loop_
_atom_site_label
_atom_site_type_symbol
_atom_site_fract_x
_atom_site_fract_y
_atom_site_fract_z
O1 O 0.750 0.524 0.000
O2 O 0.749 0.106 0.000
O3 O 0.250 0.024 0.000
O4 O 0.251 0.606 0.000
Rb1 Rb 0.436 0.659 0.338
Rb2 Rb 0.564 0.159 0.662
Rb3 Rb 0.067 0.658 0.662
Rb4 Rb 0.933 0.158 0.338
Nb1 Nb 0.004 0.315 0.938
Nb2 Nb 0.495 0.315 0.062
Nb3 Nb 0.996 0.815 0.062
Nb4 Nb 0.505 0.815 0.938
Se1 Se 0.796 0.662 0.195
Se2 Se 0.204 0.162 0.805
Se3 Se 0.707 0.661 0.805
Se4 Se 0.293 0.161 0.195
```

Results
Total moment ... 0.0 μB per formula unit
Final energy ... -97.43 eV per cell
Crystal system ... monoclinic
Calculated volume ... 411.7 Å³/cell